Material: KLaCoO4
Method: DFT, PBE+U
State: optimized geometry

The structure belongs to space group P2_1/m (No. 11); the cell edges are 6.019, 5.805 and 7.514 Å and the angles 90.00°, 104.06° and 90.00°. The distinct sites, in fractional coordinates, are K at (0.194, 0.250, 0.415), La at (0.279, 0.250, 0.941), Co at (0.252, 0.750, 0.174), O at (0.053, 0.750, 0.316), O at (0.072, 0.750, 0.945) and O at (0.448, 0.511, 0.189).

The value obtained for the total energy is -6.334 eV/atom.